A relaxed PmSm2Th crystal, computed with PBE-GGA.

## Properties
**Energy relative to the elements**: 0.080 eV/f.u.
**DFT total energy**: -43.058 eV for the cell shown
**Fermi-level density of states**: 10.1 states/eV per cell
**Spin magnetization**: 0.00 Bohr magnetons per cell

Cell lengths 3.6249, 3.6249, 23.5233 Å; angles 90.00, 90.00, 120.00 degrees
With the nearest neighbours (Å) after each atom.
Space group P6_3/mmc (No. 194)
One atom of each set of equivalent atoms:
Pm (0.3333, 0.6667, 0.2500) [2 per cell]  6 Pm 3.62, 6 Sm 3.67
Sm (0.3333, 0.6667, 0.6220) [4 per cell]  3 Th 3.55, 6 Sm 3.62, 3 Pm 3.67
Th (0.0000, 0.0000, 0.0000) [2 per cell]  6 Sm 3.55, 6 Th 3.62

A relaxed PmSmTh4 crystal, computed with PBE-GGA.

## Properties
**Energy relative to the elements**: 1.586 eV/f.u.
**DFT total energy**: -150.251 eV for the cell shown
**Fermi-level density of states**: 51.7 states/eV per cell
**Spin magnetization**: 0.00 Bohr magnetons per cell

Cell lengths 9.4205, 9.4205, 9.4205 Å; angles 90.00, 90.00, 90.00 degrees
With the nearest neighbours (Å) after each atom.
Space group F-43m (No. 216)
One atom of each set of equivalent atoms:
Pm (0.0000, 0.0000, 0.0000) [4 per cell]  12 Th 3.91, 4 Sm 4.08
Sm (0.2500, 0.2500, 0.7500) [4 per cell]  12 Th 3.91, 4 Pm 4.08
Th (0.1249, 0.1249, 0.3751) [16 per cell]  6 Th 3.33

A relaxed Pm2Sm3Th2 crystal, computed with PBE-GGA.

## Properties
**Energy relative to the elements**: 0.987 eV/f.u.
**DFT total energy**: -75.022 eV for the cell shown
**Fermi-level density of states**: 21.2 states/eV per cell
**Spin magnetization**: 0.00 Bohr magnetons per cell

Cell lengths 17.6978, 3.4903, 8.7343 Å; angles 90.00, 119.31, 90.00 degrees
With the nearest neighbours (Å) after each atom.
Space group C2/m (No. 12)
One atom of each set of equivalent atoms:
Pm (0.0624, 0.0000, 0.2152) [4 per cell]  3 Pm 3.30-3.49, 3 Sm 3.47-3.63
Sm (0.0000, 0.5000, 0.5000) [2 per cell]  4 Sm 3.41-3.49, 2 Th 3.57, 4 Pm 3.63
Sm (0.2165, 0.5000, 0.6383) [4 per cell]  5 Sm 3.41-3.62, 3 Th 3.47-3.58, 3 Pm 3.47-3.78
Th (0.1536, 0.5000, 0.9574) [4 per cell]  4 Sm 3.47-3.58, 4 Th 3.49-3.57, 4 Pm 3.78

A relaxed Pm5Sm6Th crystal, computed with PBE-GGA.

## Properties
**Energy relative to the elements**: 0.310 eV/f.u.
**DFT total energy**: -59.177 eV for the cell shown
**Fermi-level density of states**: 17.8 states/eV per cell
**Spin magnetization**: 0.00 Bohr magnetons per cell

Cell lengths 5.1373, 9.6116, 9.6201 Å; angles 64.64, 74.62, 74.52 degrees
With the nearest neighbours (Å) after each atom.
Space group P-1 (No. 2)
One atom of each set of equivalent atoms:
Pm (0.0000, 0.0000, 0.0000) [1 per cell]  8 Sm 3.63-3.67, 4 Pm 3.63
Pm (0.3336, 0.1665, 0.1665) [2 per cell]  4 Pm 3.63-3.66, 8 Sm 3.64-3.67
Pm (0.3357, 0.6644, 0.6643) [2 per cell]  8 Sm 3.57-3.70, 2 Th 3.61, 2 Pm 3.66
Sm (0.1646, 0.0876, 0.5831) [2 per cell]  1 Th 3.59, 4 Sm 3.61-3.68, 7 Pm 3.62-3.70
Sm (0.1647, 0.5831, 0.0876) [2 per cell]  1 Th 3.60, 4 Sm 3.61-3.68, 7 Pm 3.61-3.70
Sm (0.5000, 0.2551, 0.7448) [2 per cell]  6 Pm 3.57-3.67, 2 Th 3.59-3.60, 4 Sm 3.61-3.62
Th (0.0000, 0.5000, 0.5000) [1 per cell]  8 Sm 3.59-3.60, 4 Pm 3.61

A relaxed Pm8Sm2Th crystal, computed with PBE-GGA.

## Properties
**Energy relative to the elements**: 0.305 eV/f.u.
**DFT total energy**: -109.116 eV for the cell shown
**Fermi-level density of states**: 33.1 states/eV per cell
**Spin magnetization**: 0.00 Bohr magnetons per cell

Cell lengths 18.5653, 5.1456, 8.1499 Å; angles 90.00, 105.21, 90.00 degrees
With the nearest neighbours (Å) after each atom.
Space group C2/m (No. 12)
One atom of each set of equivalent atoms:
Pm (0.0445, 0.0000, 0.2337) [4 per cell]  9 Pm 3.57-3.73, 2 Th 3.60, 1 Sm 3.69
Pm (0.0905, 0.5000, 0.9510) [4 per cell]  1 Th 3.62, 3 Sm 3.62-3.66, 8 Pm 3.63-3.70
Pm (0.1345, 0.0000, 0.6788) [4 per cell]  7 Pm 3.57-3.70, 2 Th 3.61, 3 Sm 3.66-3.68
Pm (0.1798, 0.5000, 0.4088) [4 per cell]  1 Th 3.61, 8 Pm 3.62-3.70, 3 Sm 3.65-3.66
Sm (0.2280, 0.0000, 0.1361) [4 per cell]  10 Pm 3.62-3.69, 2 Sm 3.63
Th (0.0000, 0.5000, 0.5000) [2 per cell]  12 Pm 3.60-3.62

A relaxed Pm8SmTh4 crystal, computed with PBE-GGA.

## Properties
**Energy relative to the elements**: 7.291 eV/f.u.
**DFT total energy**: -195.337 eV for the cell shown
**Fermi-level density of states**: 64.0 states/eV per cell
**Spin magnetization**: 0.00 Bohr magnetons per cell

Cell lengths 11.3370, 11.3370, 13.2864 Å; angles 90.00, 90.00, 120.00 degrees
With the nearest neighbours (Å) after each atom.
Space group R-3m (No. 166, hexagonal axes)
One atom of each set of equivalent atoms:
Pm (0.0000, 0.0000, 0.2376) [6 per cell]  4 Th 3.16-3.51, 1 Sm 3.49
Pm (0.0097, 0.5048, 0.7373) [18 per cell]  4 Th 3.31-3.49, 1 Sm 3.60, 2 Pm 3.69
Sm (0.0000, 0.0000, 0.5000) [3 per cell]  8 Pm 3.49-3.60
Th (0.0000, 0.0000, 0.0000) [3 per cell]  8 Pm 3.16-3.31
Th (0.0000, 0.5000, 0.0000) [9 per cell]  8 Pm 3.45-3.51

A relaxed Pm2Sm5Th4 crystal, computed with PBE-GGA.

## Properties
**Energy relative to the elements**: 1.372 eV/f.u.
**DFT total energy**: -122.809 eV for the cell shown
**Fermi-level density of states**: 32.1 states/eV per cell
**Spin magnetization**: 0.00 Bohr magnetons per cell

Cell lengths 23.5039, 3.5092, 8.9388 Å; angles 90.00, 92.85, 90.00 degrees
With the nearest neighbours (Å) after each atom.
Space group C2/m (No. 12)
One atom of each set of equivalent atoms:
Pm (0.2249, 0.0000, 0.3195) [4 per cell]  5 Sm 3.34-3.66, 2 Pm 3.51, 3 Th 3.51-3.67
Sm (0.0000, 0.0000, 0.5000) [2 per cell]  6 Sm 3.51-3.69, 4 Th 3.74
Sm (0.0952, 0.5000, 0.2050) [4 per cell]  2 Th 3.28-3.44, 3 Sm 3.44-3.51, 2 Pm 3.62
Sm (0.1361, 0.5000, 0.5805) [4 per cell]  1 Th 3.23, 1 Pm 3.34, 3 Sm 3.44-3.51
Th (0.0506, 0.5000, 0.8519) [4 per cell]  3 Sm 3.23-3.44, 2 Th 3.51
Th (0.1833, 0.0000, 0.9366) [4 per cell]  6 Th 3.51-3.72, 3 Pm 3.51-3.67, 4 Sm 3.69-3.75

A relaxed Pm2Sm3Th2 crystal, computed with PBE-GGA.

## Properties
**Energy relative to the elements**: 0.273 eV/f.u.
**DFT total energy**: -38.225 eV for the cell shown
**Fermi-level density of states**: 10.8 states/eV per cell
**Spin magnetization**: 0.00 Bohr magnetons per cell

Cell lengths 3.6255, 6.2537, 10.8666 Å; angles 84.57, 89.98, 73.21 degrees
With the nearest neighbours (Å) after each atom.
Space group P-1 (No. 2)
One atom of each set of equivalent atoms:
Pm (0.0751, 0.3518, 0.2826) [2 per cell]  7 Sm 3.56-3.71, 3 Th 3.59-3.66, 2 Pm 3.63
Sm (0.3553, 0.7879, 0.4222) [2 per cell]  5 Pm 3.56-3.71, 2 Th 3.62, 5 Sm 3.63-3.69
Sm (0.5000, 0.5000, 0.0000) [1 per cell]  6 Th 3.58-3.60, 4 Pm 3.60, 2 Sm 3.63
Th (0.2155, 0.0695, 0.8626) [2 per cell]  4 Th 3.52-3.63, 5 Sm 3.58-3.62, 3 Pm 3.59-3.66